# 1
Here is a geometry-optimized AlSi3Br structure from Alexandria via LeMat-Bulk. Energies are from PBE-GGA.

Values from the calculation:
Formation energy (no corrections): 912 meV per atom
Excess energy over the best structure of this formula in the dataset: 0.000 eV per atom

Unit cell a=4.874 b=4.874 c=4.874 alpha=90.00 beta=90.00 gamma=90.00
Fractional positions:
Si: 0.500 0.000 0.000
Si: 0.000 0.000 0.500
Si: 0.000 0.500 0.000
Al: 0.000 0.000 0.000
Br: 0.500 0.500 0.500

=====

# 2
Here is a geometry-optimized AlSi2Br structure from Alexandria via LeMat-Bulk. Energies are from PBE-GGA.

Values from the calculation:
Formation energy (no corrections): 471 meV per atom
Excess energy over the best structure of this formula in the dataset: 0.412 eV per atom

Unit cell a=3.228 b=3.228 c=7.356 alpha=90.00 beta=90.00 gamma=97.73
Fractional positions:
Al: 0.500 0.500 0.250
Si: 0.000 0.000 0.460
Si: 0.000 0.000 0.040
Br: 0.500 0.500 0.750

=====

# 3
Here is a geometry-optimized AlSiBr structure from Alexandria via LeMat-Bulk. Energies are from PBE-GGA.

Values from the calculation:
Formation energy (no corrections): 70 meV per atom
Excess energy over the best structure of this formula in the dataset: 0.000 eV per atom

Unit cell a=3.315 b=3.315 c=7.384 alpha=90.00 beta=90.00 gamma=120.00
Fractional positions:
Br: 0.667 0.333 0.246
Si: 0.333 0.667 0.751
Al: 0.000 0.000 0.003

=====

# 4
Here is a geometry-optimized AlSiBr structure from Alexandria via LeMat-Bulk. Energies are from PBE-GGA.

Values from the calculation:
Formation energy (no corrections): 84 meV per atom
Excess energy over the best structure of this formula in the dataset: 0.014 eV per atom

Unit cell a=6.006 b=6.006 c=6.006 alpha=144.09 beta=144.09 gamma=51.69
Fractional positions:
Br: 0.337 0.337 0.000
Al: 0.097 0.097 0.000
Si: 0.567 0.567 0.000